Ce3Bi4Pd3 | GGA-PBEsol | relaxed

Output
* final energy: -62.66 eV per formula unit

a = 8.5582 Å, b = 8.5582 Å, c = 8.5582 Å
α = 109.47°, β = 109.47°, γ = 109.47°
Each line ends with the local moment (μB).
Atoms (fractional coordinates):
1 Ce 0.3750 0.6250 0.7500  0.24
2 Ce 0.7500 0.1250 0.3750  0.24
3 Ce 0.2500 0.3750 0.1250  0.24
4 Ce 0.1250 0.8750 0.2500  0.24
5 Ce 0.6250 0.2500 0.8750  0.24
6 Ce 0.8750 0.7500 0.6250  0.24
7 Bi 0.5000 0.3265 0.5000  -0.02
8 Bi 0.8265 0.0000 0.0000  -0.02
9 Bi 0.0000 0.5000 0.8265  -0.02
10 Bi 0.5000 0.8265 0.5000  -0.02
11 Bi 0.6735 0.6735 0.1735  -0.02
12 Bi 0.1735 0.1735 0.6735  -0.02
13 Bi 0.3265 0.0000 0.0000  -0.02
14 Bi 0.0000 0.5000 0.3265  -0.02
15 Pd 0.1250 0.2500 0.3750  -0.02
16 Pd 0.7500 0.6250 0.8750  -0.02
17 Pd 0.8750 0.1250 0.7500  -0.02
18 Pd 0.3750 0.7500 0.1250  -0.02
19 Pd 0.2500 0.8750 0.6250  -0.02
20 Pd 0.6250 0.3750 0.2500  -0.02